Below is a relaxed ZrTaWS2 crystal, with properties calculated at the GGA-PBEsol level.

Cell: 4.564 4.564 5.025 Å, 90.00 90.00 90.00°
Positions (direct):
1 Zr 0.000 0.000 0.000
2 Ta 0.500 0.500 0.500
3 W 0.500 0.500 0.000
4 S 0.000 0.500 0.500
5 S 0.500 0.000 0.500

Output
- formation energy from raw total energies (eV/atom) = 0.6896
- symmetry = No. 123